Y4F (PBE-GGA, relaxed); spin magnetization = 0.0 μB per formula unit; VASP energy = -6.47 eV/atom; calculated density = 4.76 Mg/m³; formation energy (no corrections) = -0.920 eV per atom; SG = Pm-3m (221)
1.0
-0.783 3.893 3.159
-4.081 -2.353 1.887
2.913 -2.249 3.494
F Y
1 4
direct
0.500 0.500 0.500
0.500 0.000 0.500
0.500 0.500 0.000
0.000 0.000 0.000
0.000 0.500 0.500

=====

YZnF4 (PBE-GGA, relaxed); spin magnetization = 0.0 μB per formula unit; VASP energy = -5.33 eV/atom; calculated density = 3.85 Mg/m³; formation energy (no corrections) = -2.793 eV per atom; SG = I-4 (82)
1.0
6.100 0.000 0.000
0.000 6.100 0.000
-3.050 -3.050 2.666
F Y Zn
4 1 1
direct
0.795 0.295 0.986
0.191 0.692 0.986
0.308 0.205 0.014
0.705 0.809 0.014
0.750 0.250 0.500
0.500 0.500 0.000

=====

YZn3F (PBE-GGA, relaxed); spin magnetization = 0.0 μB per formula unit; VASP energy = -1.99 eV/atom; E above lowest polymorph = 0.888 eV per atom; calculated density = 2.50 Mg/m³; formation energy (no corrections) = 0.445 eV per atom; SG = Pm-3m (221)
1.0
5.865 0.000 0.000
0.000 5.865 0.000
0.000 0.000 5.865
F Zn Y
1 3 1
direct
0.500 0.500 0.500
0.000 0.000 0.500
0.500 0.000 0.000
0.000 0.500 0.000
0.000 0.000 0.000

=====

YZnF (PBE-GGA, relaxed); spin magnetization = 0.0 μB per formula unit; VASP energy = -4.88 eV/atom; calculated density = 4.68 Mg/m³; formation energy (no corrections) = -1.675 eV per atom; SG = Cm (8)
1.0
-3.511 3.833 4.127
-1.779 1.356 6.249
8.215 -0.822 -7.668
Zn Y F
2 2 2
direct
0.046 0.349 0.883
0.279 0.581 0.534
0.541 0.843 0.458
0.549 0.852 0.115
0.929 0.231 0.446
0.794 0.097 0.864

=====

> Which of these has the highest calculated density?

Y4F

=====

Copy entry 4 word for word.
YZnF (PBE-GGA, relaxed); spin magnetization = 0.0 μB per formula unit; VASP energy = -4.88 eV/atom; calculated density = 4.68 Mg/m³; formation energy (no corrections) = -1.675 eV per atom; SG = Cm (8)
1.0
-3.511 3.833 4.127
-1.779 1.356 6.249
8.215 -0.822 -7.668
Zn Y F
2 2 2
direct
0.046 0.349 0.883
0.279 0.581 0.534
0.541 0.843 0.458
0.549 0.852 0.115
0.929 0.231 0.446
0.794 0.097 0.864